Entry 1:
# K2ScSeO6

An optimized crystal structure of K2ScSeO6 (GGA-PBE, the Alexandria database).

a = 5.3774 Å, b = 6.1780 Å, c = 6.1780 Å
α = 120.00°, β = 90.00°, γ = 90.00°
Last column: nearest neighbours and their distance in Å.
Fractional positions:
O: 0.7931 0.1358 0.8642  1 Se 1.83
O: 0.2069 0.8642 0.7284  1 Se 1.83
O: 0.2069 0.2716 0.1358  1 Se 1.83
O: 0.7931 0.7284 0.8642  1 Se 1.83
O: 0.7931 0.1358 0.2716  1 Se 1.83
O: 0.2069 0.8642 0.1358  1 Se 1.83
Sc: 0.5000 0.0000 0.0000  6 O 2.14
Se: 0.0000 0.0000 0.0000  6 O 1.83
K: 0.8718 0.6667 0.3333  3 O 2.78
K: 0.1282 0.3333 0.6667  3 O 2.78

**VASP energy**: -57.29 eV/cell
**D(E_F)**: 1.090 states/eV per cell
**Volume**: 178 Å³ per cell
**Formation energy from raw total energies**: -1.553 eV/atom
**M_tot**: 0.1058 μB/atom

Entry 2:
# Ag2BrCl

An optimized crystal structure of Ag2BrCl (GGA-PBE, the Alexandria database).

a = 3.9525 Å, b = 3.9525 Å, c = 7.3330 Å
α = 74.37°, β = 74.37°, γ = 60.00°
Last column: nearest neighbours and their distance in Å.
Fractional positions:
Br: 0.4981 0.4981 0.5056  6 Ag 2.89-2.93
Ag: 0.2526 0.2526 0.2421  3 Cl 2.87, 3 Br 2.93
Ag: 0.0802 0.0802 0.7595  3 Cl 2.80, 3 Br 2.89
Cl: 0.6690 0.6690 0.9929  6 Ag 2.80-2.87

**VASP energy**: -10.53 eV/cell
**Volume**: 94 Å³ per cell
**Formation energy from raw total energies**: -0.326 eV/atom
**E above lowest polymorph**: 63.3 meV/atom
**M_tot**: 0.0000 μB/atom

Entry 3:
# ZrNiIN2

An optimized crystal structure of ZrNiIN2 (GGA-PBE, the Alexandria database).

a = 4.1024 Å, b = 4.1024 Å, c = 6.2431 Å
α = 90.00°, β = 90.00°, γ = 90.00°
Last column: nearest neighbours and their distance in Å.
Fractional positions:
I: 0.0000 0.0000 0.5000  4 Ni 2.90, 2 Zr 3.12
N: 0.5000 0.0000 0.0000  2 Zr 2.05
N: 0.0000 0.5000 0.0000  2 Zr 2.05
Zr: 0.0000 0.0000 0.0000  4 N 2.05
Ni: 0.5000 0.5000 0.5000  4 I 2.90

**VASP energy**: -29.11 eV/cell
**D(E_F)**: 5.299 states/eV per cell
**Volume**: 105 Å³ per cell
**Formation energy from raw total energies**: 0.685 eV/atom
**E above lowest polymorph**: 0.0 meV/atom
**M_tot**: 0.2787 μB/atom

Entry 4:
# CuSiSe2

An optimized crystal structure of CuSiSe2 (GGA-PBE, the Alexandria database).

a = 2.9421 Å, b = 3.4835 Å, c = 6.9064 Å
α = 90.00°, β = 90.00°, γ = 90.00°
Last column: nearest neighbours and their distance in Å.
Fractional positions:
Cu: 0.5000 0.5000 0.7500  8 Se 2.82, 2 Cu 2.94
Se: 0.0000 0.0000 0.5091  4 Cu 2.82, 4 Si 2.90, 2 Se 2.94
Se: 0.0000 0.0000 0.9909  4 Cu 2.82, 4 Si 2.90, 2 Se 2.94
Si: 0.5000 0.5000 0.2500  8 Se 2.90, 2 Si 2.94

**VASP energy**: -14.88 eV/cell
**D(E_F)**: 1.662 states/eV per cell
**Volume**: 71 Å³ per cell
**Formation energy from raw total energies**: 0.402 eV/atom
**M_tot**: 0.0000 μB/atom

Entry 5:
# SiBSbI2

An optimized crystal structure of SiBSbI2 (GGA-PBE, the Alexandria database).

a = 4.9909 Å, b = 4.9909 Å, c = 4.9932 Å
α = 90.00°, β = 90.00°, γ = 90.00°
Last column: nearest neighbours and their distance in Å.
Fractional positions:
I: 0.0000 0.5000 0.0000  2 B 2.50
I: 0.5000 0.0000 0.0000  2 B 2.50
Sb: 0.0000 0.0000 0.5000  2 B 2.50
Si: 0.5000 0.5000 0.5000  4 Sb 3.53, 8 I 3.53
B: 0.0000 0.0000 0.0000  4 I 2.50, 2 Sb 2.50

**VASP energy**: -13.99 eV/cell
**D(E_F)**: 2.576 states/eV per cell
**Volume**: 124 Å³ per cell
**Formation energy from raw total energies**: 1.067 eV/atom
**E above lowest polymorph**: 0.0 meV/atom
**M_tot**: 0.0000 μB/atom

Entry 6:
# FeRuW2

An optimized crystal structure of FeRuW2 (GGA-PBE, the Alexandria database).

a = 3.1174 Å, b = 3.1176 Å, c = 6.0063 Å
α = 90.00°, β = 90.00°, γ = 90.00°
Last column: nearest neighbours and their distance in Å.
Fractional positions:
W: 0.5000 0.5000 0.2720  4 Fe 2.56, 4 W 2.77, 1 Ru 2.85
W: 0.0000 0.0000 0.9933  4 Ru 2.65, 4 W 2.77, 1 Fe 2.97
Fe: 0.0000 0.0000 0.4874  4 W 2.56, 4 Ru 2.70
Ru: 0.5000 0.5000 0.7473  5 W 2.65-2.85, 4 Fe 2.70

**VASP energy**: -43.11 eV/cell
**D(E_F)**: 3.261 states/eV per cell
**Volume**: 58 Å³ per cell
**Formation energy from the elements**: 0.13 eV per atom
**E above lowest polymorph**: 22.4 meV/atom
**M_tot**: 0.5451 μB/atom

Entry 7:
# Na4Ho3PaSe8

An optimized crystal structure of Na4Ho3PaSe8 (GGA-PBE, the Alexandria database).

a = 8.2585 Å, b = 8.4987 Å, c = 8.2587 Å
α = 119.10°, β = 120.00°, γ = 90.00°
Last column: nearest neighbours and their distance in Å.
Fractional positions:
Se: 0.2452 0.7322 0.9872  2 Ho 2.88, 1 Pa 2.90, 3 Na 3.03-3.04
Se: 0.7549 0.2678 0.5097  2 Ho 2.88, 1 Pa 2.90, 3 Na 3.03-3.04
Se: 0.7421 0.7322 0.9872  2 Ho 2.88, 1 Pa 2.90, 3 Na 3.03-3.04
Se: 0.2579 0.2678 0.0128  2 Ho 2.88, 1 Pa 2.90, 3 Na 3.03-3.04
Se: 0.7548 0.2678 0.0128  2 Ho 2.88, 1 Pa 2.90, 3 Na 3.03-3.04
Se: 0.2451 0.7322 0.4903  2 Ho 2.88, 1 Pa 2.90, 3 Na 3.03-3.04
Se: 0.7432 0.7293 0.4863  3 Ho 2.88, 3 Na 3.05
Se: 0.2568 0.2707 0.5137  3 Ho 2.88, 3 Na 3.05
Na: 0.5000 0.0000 0.5000  6 Se 3.04-3.05
Na: 0.0000 0.0000 0.5000  6 Se 3.04-3.05
Na: 0.0000 0.0000 0.0000  6 Se 3.04-3.05
Na: 0.5000 0.0000 0.0000  6 Se 3.03
Ho: 0.0000 0.5000 0.5000  6 Se 2.88
Ho: 0.5000 0.5000 0.0000  6 Se 2.88
Ho: 0.5000 0.5000 0.5000  6 Se 2.88
Pa: 0.0000 0.5000 0.0000  6 Se 2.90

**VASP energy**: -81.55 eV/cell
**D(E_F)**: 9.939 states/eV per cell
**Volume**: 415 Å³ per cell
**Formation energy from raw total energies**: -1.573 eV/atom
**M_tot**: 0.1145 μB/atom

Entry 8:
# Mg2OsAu

An optimized crystal structure of Mg2OsAu (GGA-PBE, the Alexandria database).

a = 2.9142 Å, b = 2.9142 Å, c = 7.8723 Å
α = 90.00°, β = 90.00°, γ = 90.00°
Last column: nearest neighbours and their distance in Å.
Fractional positions:
Mg: 0.0000 0.0000 0.0145  4 Os 2.77, 4 Mg 2.91, 4 Au 2.93
Mg: 0.0000 0.0000 0.4855  4 Os 2.77, 4 Mg 2.91, 4 Au 2.93
Au: 0.5000 0.5000 0.7500  4 Au 2.91, 8 Mg 2.93
Os: 0.5000 0.5000 0.2500  8 Mg 2.77, 4 Os 2.91

**VASP energy**: -17.88 eV/cell
**D(E_F)**: 3.148 states/eV per cell
**Volume**: 67 Å³ per cell
**Formation energy from the elements**: -0.05 eV per atom
**M_tot**: 0.0003 μB/atom

Entry 9:
# Pa5C4N

An optimized crystal structure of Pa5C4N (GGA-PBE, the Alexandria database).

a = 3.5800 Å, b = 3.5800 Å, c = 12.9066 Å
α = 97.97°, β = 97.97°, γ = 90.00°
Last column: nearest neighbours and their distance in Å.
Fractional positions:
C: 0.8008 0.8008 0.6016  6 Pa 2.53-2.56
C: 0.5989 0.5989 0.1978  6 Pa 2.50-2.55
C: 0.4011 0.4011 0.8022  6 Pa 2.50-2.55
C: 0.1992 0.1992 0.3984  6 Pa 2.53-2.56
Pa: 0.0990 0.0990 0.1980  1 N 2.51, 5 C 2.53-2.54
Pa: 0.5000 0.5000 0.0000  2 C 2.50, 4 N 2.53
Pa: 0.6996 0.6996 0.3991  6 C 2.53-2.56
Pa: 0.3004 0.3004 0.6009  6 C 2.53-2.56
Pa: 0.9010 0.9010 0.8020  1 N 2.51, 5 C 2.53-2.54
N: 0.0000 0.0000 0.0000  6 Pa 2.51-2.53

**VASP energy**: -99.61 eV/cell
**D(E_F)**: 9.731 states/eV per cell
**Volume**: 162 Å³ per cell
**Formation energy from raw total energies**: -0.690 eV/atom
**E above lowest polymorph**: 7.5 meV/atom
**M_tot**: 0.0000 μB/atom

Entry 10:
# HfZr4N4

An optimized crystal structure of HfZr4N4 (GGA-PBE, the Alexandria database).

a = 4.6762 Å, b = 5.6188 Å, c = 5.6197 Å
α = 79.99°, β = 65.41°, γ = 65.41°
Last column: nearest neighbours and their distance in Å.
Fractional positions:
N: 0.9015 0.3954 0.8017  5 Zr 2.22-2.34, 1 Hf 2.26
N: 0.7031 0.1984 0.3954  5 Zr 2.22-2.34, 1 Hf 2.26
N: 0.0985 0.6046 0.1983  5 Zr 2.22-2.34, 1 Hf 2.26
N: 0.2969 0.8016 0.6046  5 Zr 2.22-2.34, 1 Hf 2.26
Zr: 0.3947 0.4128 0.7978  5 N 2.22-2.34
Zr: 0.8076 0.7977 0.5871  5 N 2.22-2.34
Zr: 0.1924 0.2023 0.4129  5 N 2.22-2.34
Zr: 0.6053 0.5872 0.2023  5 N 2.22-2.34
Hf: 0.0000 0.0000 0.0000  4 N 2.26

**VASP energy**: -91.34 eV/cell
**D(E_F)**: 4.290 states/eV per cell
**Volume**: 122 Å³ per cell
**Formation energy from raw total energies**: -1.544 eV/atom
**M_tot**: 0.0000 μB/atom

Which of these has the highest volume?
Na4Ho3PaSe8

Repeat the sixth record exactly.
# FeRuW2

An optimized crystal structure of FeRuW2 (GGA-PBE, the Alexandria database).

a = 3.1174 Å, b = 3.1176 Å, c = 6.0063 Å
α = 90.00°, β = 90.00°, γ = 90.00°
Last column: nearest neighbours and their distance in Å.
Fractional positions:
W: 0.5000 0.5000 0.2720  4 Fe 2.56, 4 W 2.77, 1 Ru 2.85
W: 0.0000 0.0000 0.9933  4 Ru 2.65, 4 W 2.77, 1 Fe 2.97
Fe: 0.0000 0.0000 0.4874  4 W 2.56, 4 Ru 2.70
Ru: 0.5000 0.5000 0.7473  5 W 2.65-2.85, 4 Fe 2.70

**VASP energy**: -43.11 eV/cell
**D(E_F)**: 3.261 states/eV per cell
**Volume**: 58 Å³ per cell
**Formation energy from the elements**: 0.13 eV per atom
**E above lowest polymorph**: 22.4 meV/atom
**M_tot**: 0.5451 μB/atom

What is the M_tot in the fifth record?
0.0000 μB/atom